8
Lattice="5.8973 0.0000 0.0000 -2.9486 5.1072 0.0000 0.0000 0.0000 4.7953" Properties=species:S:1:pos:R:3 comment="Cd3Pt, relaxed, DFT PBEsol" magnetic_moment_mub_per_atom=0.00 total_energy_ev_per_atom=-2.84 pbc="T T T"
Cd 0.0000 1.7401 1.1988
Cd -1.4417 4.2372 1.1988
Cd 1.5070 0.8700 3.5965
Cd 1.4417 4.2372 1.1988
Cd 4.3903 0.8700 3.5965
Cd 2.9486 3.3671 3.5965
Pt 0.0000 3.4048 3.5965
Pt 2.9487 1.7024 1.1988

4
Lattice="-1.6317 1.7919 5.8352 1.6317 -1.7919 5.8352 1.6317 1.7919 -5.8352" Properties=species:S:1:pos:R:3 comment="Cu2PPb, relaxed, DFT PBEsol" magnetic_moment_mub_per_atom=0.00 total_energy_ev_per_atom=-4.46 pbc="T T T"
Cu 0.0000 0.0000 0.0000
Cu 0.0000 1.7919 1.7939
P 1.6317 0.0000 1.6781
Pb 0.0000 0.0000 4.2855

4
Lattice="0.0000 3.7268 3.7268 3.7268 0.0000 3.7268 3.7268 3.7268 0.0000" Properties=species:S:1:pos:R:3 comment="ZnCd2I, relaxed, DFT PBEsol" magnetic_moment_mub_per_atom=0.00 formation_energy_uncorrected_mev_per_atom=306 total_energy_ev_per_atom=-1.13 pbc="T T T"
Zn 0.0000 0.0000 0.0000
Cd 1.8634 1.8634 1.8634
Cd 5.5901 5.5901 5.5901
I 3.7268 3.7268 3.7268

4
Lattice="-2.1683 2.1683 3.8265 2.1683 -2.1683 3.8265 2.1683 2.1683 -3.8265" Properties=species:S:1:pos:R:3 comment="ScTa2Cl, relaxed, DFT PBEsol" magnetic_moment_mub_per_atom=0.00 formation_energy_uncorrected_mev_per_atom=472 total_energy_ev_per_atom=-7.96 pbc="T T T"
Sc 0.0000 0.0000 0.0000
Ta 0.0000 0.0000 3.8265
Ta 0.0000 2.1683 1.9132
Cl 2.1683 0.0000 1.9132